ZnInAg2: PBEsol geometry, SCAN.

- formation energy from the elements (eV/atom) = 0.024
- crystal system = orthorhombic
- total energy (eV per cell) = -109.538
- size of the total moment (μB/f.u.) = 0.00
- calculated density (g cm⁻³) = 9.39
- symmetry = No. 25

extended XYZ file:
```
4
Lattice="3.3250 0.0000 0.0000 0.0000 3.6476 0.0000 0.0000 0.0000 5.7732" Properties=species:S:1:pos:R:3 pbc="T T T"
Ag 0.0000 0.0000 5.6964
Ag 1.6625 1.8238 1.3975
In 0.0000 0.0000 2.8645
Zn 1.6625 1.8238 4.4745
```